## a
LiLa4Zn | GGA-PBE | optimized geometry

The structure in POSCAR format:
```
LiLa4Zn
1.0
0.000 4.641 4.641
4.641 0.000 4.641
4.641 4.641 0.000
La Li Zn
4 1 1
Direct
0.372 0.372 0.883
0.372 0.372 0.372
0.372 0.883 0.372
0.883 0.372 0.372
0.750 0.750 0.750
0.000 0.000 0.000
```

Computed properties:
The spin magnetization is 0.0 Bohr magnetons per cell.


## b
LiLa4Zn | GGA-PBE | optimized geometry

The structure in POSCAR format:
```
LiLa4Zn
1.0
5.191 0.000 0.000
0.000 5.198 0.000
0.007 0.009 7.619
La Zn Li
4 1 1
Direct
0.001 0.497 0.720
0.502 0.997 0.276
0.001 0.497 0.277
0.501 0.998 0.720
0.002 0.997 0.498
0.501 0.498 0.998
```

Computed properties:
The spin magnetization is 0.0 Bohr magnetons per cell.


The structure with the greatest stability is b.


## a
Li2La2Zn | GGA-PBE | optimized geometry

The structure in POSCAR format:
```
Li2La2Zn
1.0
6.843 0.000 0.000
0.000 6.843 0.000
0.000 0.000 5.264
La Zn Li
4 2 4
Direct
0.677 0.823 0.500
0.177 0.677 0.500
0.323 0.177 0.500
0.823 0.323 0.500
0.500 0.500 0.000
0.000 0.000 0.000
0.136 0.364 0.000
0.364 0.864 0.000
0.636 0.136 0.000
0.864 0.636 0.000
```

Computed properties:
The spin magnetization is 0.0 Bohr magnetons per cell.


## b
Li2La2Zn | GGA-PBE | optimized geometry

The structure in POSCAR format:
```
Li2La2Zn
1.0
-1.947 1.685 2.781
1.555 -2.364 2.521
7.010 5.809 3.972
Li La Zn
2 2 1
Direct
0.250 0.750 0.500
0.750 0.250 0.500
0.591 0.591 0.818
0.409 0.409 0.182
0.000 0.000 0.000
```

Computed properties:
The spin magnetization is 0.0 Bohr magnetons per cell.


## c
Li2La2Zn | GGA-PBE | optimized geometry

The structure in POSCAR format:
```
Li2La2Zn
1.0
7.807 0.000 0.000
0.000 7.807 0.000
0.000 0.000 5.066
Li Zn La
4 2 4
Direct
0.158 0.658 0.500
0.342 0.158 0.500
0.842 0.342 0.500
0.658 0.842 0.500
0.500 0.500 0.000
0.000 0.000 0.000
0.866 0.634 0.000
0.366 0.866 0.000
0.134 0.366 0.000
0.634 0.134 0.000
```

Computed properties:
The spin magnetization is 0.0 Bohr magnetons per cell.


The structure with the greatest stability is a.